VASP calculation (PBE) on a relaxed Sr2CaLa crystal.

ΔH_f (0 K) (eV/atom): 0.093

The structure in CIF format:
```
data_Sr2CaLa
_cell_length_a 3.990
_cell_length_b 3.990
_cell_length_c 13.521
_cell_angle_alpha 81.51
_cell_angle_beta 81.51
_cell_angle_gamma 60.00
_symmetry_space_group_name_H-M 'P 1'
_symmetry_Int_Tables_number 1
_symmetry_space_group_name_Hall 'P 1'
loop_
_atom_site_label
_atom_site_fract_x
_atom_site_fract_y
_atom_site_fract_z
_atom_site_occupancy
Ca1 0.500 0.500 0.500 1
Sr1 0.251 0.251 0.246 1
Sr2 0.082 0.082 0.754 1
La1 0.667 0.667 0.000 1
```